DFT (PBE-GGA) results for a geometry-optimized La14HoCd structure.

Properties
For the density of states at the Fermi level, the calculation gives 1.31 states/eV/atom. As for the symmetry: No. 38. As for the calculated formation energy: -0.472 eV per formula unit.

Cell lengths 10.472, 7.324, 7.324 Å; angles 89.96, 90.00, 90.00 degrees
Fractional coordinates of all 16 atoms:
La: 0.000 0.000 0.000
La: 0.000 0.000 0.498
La: 0.000 0.498 0.000
La: 0.000 0.499 0.499
La: 0.254 0.746 0.746
La: 0.255 0.253 0.745
La: 0.255 0.745 0.253
La: 0.256 0.253 0.253
La: 0.500 0.500 0.997
La: 0.500 0.997 0.500
La: 0.744 0.253 0.253
La: 0.745 0.253 0.745
La: 0.745 0.745 0.253
La: 0.746 0.746 0.746
Ho: 0.500 0.999 0.999
Cd: 0.500 0.499 0.499